1.
BeTe2IrI | GGA-PBE | optimized geometry

Lattice parameters (Å, degrees): 4.864 4.864 4.846 90.00 90.00 90.00
Sites, in units of the cell vectors:
Ir1 0.500 0.500 0.500
Te1 0.000 0.500 0.000
I1 0.000 0.000 0.500
Be1 0.000 0.000 0.000
Te2 0.500 0.000 0.000

## Properties
E above lowest polymorph: 55 kJ/mol of formula units
Energy relative to the elements, uncorrected: 1.06 eV/atom
Total energy: -15.102 eV/f.u.
Fermi-level density of states: 0.893 states/eV/atom

---

2.
BeTe2IrI | GGA-PBE | optimized geometry

Lattice parameters (Å, degrees): 5.221 5.221 5.582 90.00 90.00 90.00
Sites, in units of the cell vectors:
Te1 0.500 0.000 0.000
Ir1 0.000 0.000 0.000
I1 0.000 0.000 0.500
Be1 0.500 0.500 0.500
Te2 0.000 0.500 0.000

## Properties
E above lowest polymorph: 0 kJ/mol of formula units
Energy relative to the elements, uncorrected: 0.95 eV/atom
Total energy: -15.671 eV/f.u.
Fermi-level density of states: 1.240 states/eV/atom

---

3.
BeTeIrI2 | GGA-PBE | optimized geometry

Lattice parameters (Å, degrees): 5.602 5.602 5.062 90.00 90.00 90.00
Sites, in units of the cell vectors:
Te1 0.000 0.000 0.500
I1 0.500 0.000 0.000
Be1 0.500 0.500 0.500
Ir1 0.000 0.000 0.000
I2 0.000 0.500 0.000

## Properties
E above lowest polymorph: 0 kJ/mol of formula units
Energy relative to the elements, uncorrected: 0.90 eV/atom
Total energy: -14.354 eV/f.u.
Fermi-level density of states: 0.794 states/eV/atom

---

4.
BeTeIrI2 | GGA-PBE | optimized geometry

Lattice parameters (Å, degrees): 4.958 4.958 5.043 90.00 90.00 90.00
Each line ends with the local moment (μB).
Sites, in units of the cell vectors:
Be1 0.000 0.000 0.000  -0.01
I1 0.500 0.000 0.000  0.11
I2 0.000 0.500 0.000  0.11
Te1 0.000 0.000 0.500  0.01
Ir1 0.500 0.500 0.500  1.22

## Properties
E above lowest polymorph: 120 kJ/mol of formula units
Energy relative to the elements, uncorrected: 1.14 eV/atom
Total energy: -13.114 eV/f.u.
Fermi-level density of states: 1.025 states/eV/atom

---

5.
TiBeIr2I | GGA-PBE | optimized geometry

Lattice parameters (Å, degrees): 4.656 5.168 4.656 90.00 90.00 90.00
Sites, in units of the cell vectors:
Ir1 0.000 0.000 0.500
Ti1 0.000 0.000 0.000
Ir2 0.500 0.000 0.000
Be1 0.500 0.500 0.500
I1 0.000 0.500 0.000

## Properties
Energy relative to the elements, uncorrected: 1.37 eV/atom
Total energy: -24.033 eV/f.u.
Fermi-level density of states: 0.658 states/eV/atom

---

6.
K3BeI5 | GGA-PBE | optimized geometry

Lattice parameters (Å, degrees): 9.838 9.838 10.304 118.51 118.51 90.00
Sites, in units of the cell vectors:
I1 0.015 0.515 0.309
K1 0.840 0.660 0.000
I2 0.294 0.794 0.309
I3 0.794 0.015 0.309
K2 0.340 0.840 0.000
K3 0.750 0.750 0.500
K4 0.250 0.250 0.500
I4 0.985 0.485 0.691
I5 0.485 0.706 0.691
I6 0.206 0.985 0.691
K5 0.660 0.160 0.000
K6 0.160 0.340 0.000
I7 0.706 0.206 0.691
Be1 0.750 0.250 0.500
Be2 0.250 0.750 0.500
I8 0.515 0.294 0.309
I9 0.000 0.000 0.000
I10 0.500 0.500 0.000

## Properties
Energy relative to the elements, uncorrected: -1.16 eV/atom
Total energy: -25.188 eV/f.u.
Fermi-level density of states: 0.000 states/eV/atom

---

7.
K4BeI6 | GGA-PBE | optimized geometry

Lattice parameters (Å, degrees): 8.679 9.497 16.269 74.82 74.53 62.81
Sites, in units of the cell vectors:
I1 0.376 0.166 0.989
I2 0.407 0.538 0.139
K1 0.702 0.147 0.170
I3 0.981 0.101 0.952
Be1 0.141 0.271 0.903
K2 0.277 0.745 0.305
K3 0.340 0.974 0.622
K4 0.063 0.474 0.122
I4 0.570 0.647 0.758
Be2 0.686 0.771 0.403
I5 0.469 0.666 0.489
I6 0.579 0.051 0.416
I7 0.966 0.601 0.452
I8 0.281 0.256 0.751
K5 0.673 0.245 0.805
K6 0.437 0.789 0.950
I9 0.916 0.038 0.639
K7 0.980 0.647 0.670
I10 0.712 0.756 0.251
I11 0.954 0.551 0.916
I12 0.025 0.147 0.258
K8 0.824 0.289 0.450

## Properties
Energy relative to the elements, uncorrected: -1.20 eV/atom
Total energy: -30.595 eV/f.u.
Fermi-level density of states: 0.000 states/eV/atom

---

8.
K3Be5I12 | GGA-PBE | optimized geometry

Lattice parameters (Å, degrees): 15.283 15.283 15.283 109.47 109.47 109.47
Each line ends with the local moment (μB).
Sites, in units of the cell vectors:
I1 0.087 0.898 0.390  0.01
I2 0.087 0.189 0.197  0.01
K1 0.750 0.875 0.625  0.00
Be1 0.000 0.000 0.500  0.14
I3 0.102 0.913 0.110  0.01
Be2 0.000 0.000 0.000  0.14
I4 0.303 0.413 0.811  0.01
K2 0.875 0.750 0.125  0.00
K3 0.250 0.625 0.875  0.00
Be3 0.625 0.875 0.250  0.03
I5 0.898 0.087 0.890  0.01
Be4 0.875 0.625 0.750  0.03
I6 0.398 0.390 0.587  0.01
K4 0.125 0.250 0.875  0.00
I7 0.697 0.587 0.189  0.01
I8 0.189 0.102 0.992  0.01
K5 0.625 0.250 0.375  0.00
I9 0.008 0.398 0.811  0.01
Be5 0.250 0.875 0.125  0.03
I10 0.398 0.008 0.311  0.01
I11 0.413 0.303 0.311  0.01
I12 0.390 0.398 0.087  0.01
I13 0.311 0.803 0.413  0.01
I14 0.890 0.303 0.492  0.01
I15 0.508 0.197 0.110  0.01
Be6 0.375 0.250 0.125  0.03
K6 0.375 0.750 0.625  0.00
I16 0.110 0.413 0.102  0.01
Be7 0.000 0.500 0.000  0.14
I17 0.189 0.087 0.697  0.01
I18 0.803 0.311 0.913  0.01
K7 0.625 0.375 0.750  0.00
I19 0.110 0.697 0.508  0.01
I20 0.492 0.803 0.890  0.01
Be8 0.500 0.000 0.500  0.14
I21 0.610 0.008 0.197  0.01
I22 0.303 0.890 0.992  0.01
I23 0.697 0.110 0.008  0.01
Be9 0.750 0.125 0.875  0.03
K8 0.875 0.125 0.250  0.00
Be10 0.750 0.625 0.375  0.03
I24 0.913 0.102 0.610  0.01
I25 0.890 0.587 0.898  0.01
I26 0.992 0.602 0.189  0.01
I27 0.689 0.492 0.602  0.01
I28 0.413 0.110 0.602  0.01
Be11 0.875 0.250 0.625  0.03
K9 0.125 0.875 0.750  0.00
I29 0.390 0.992 0.803  0.01
I30 0.587 0.697 0.689  0.01
I31 0.102 0.189 0.492  0.01
I32 0.689 0.197 0.587  0.01
Be12 0.500 0.500 0.000  0.14
I33 0.811 0.898 0.008  0.01
I34 0.992 0.390 0.303  0.01
Be13 0.500 0.000 0.000  0.14
Be14 0.250 0.375 0.625  0.03
Be15 0.625 0.750 0.875  0.03
I35 0.197 0.689 0.087  0.01
I36 0.492 0.689 0.102  0.01
Be16 0.125 0.375 0.250  0.03
K10 0.250 0.125 0.375  0.00
I37 0.587 0.890 0.398  0.01
I38 0.913 0.811 0.803  0.01
Be17 0.500 0.500 0.500  0.14
K11 0.375 0.625 0.250  0.00
Be18 0.375 0.125 0.750  0.03
I39 0.602 0.610 0.413  0.01
I40 0.803 0.492 0.390  0.01
I41 0.197 0.508 0.610  0.01
Be19 0.125 0.750 0.375  0.03
K12 0.750 0.375 0.125  0.00
I42 0.602 0.992 0.689  0.01
I43 0.008 0.610 0.697  0.01
I44 0.898 0.811 0.508  0.01
I45 0.311 0.508 0.398  0.01
I46 0.508 0.311 0.898  0.01
I47 0.610 0.602 0.913  0.01
I48 0.811 0.913 0.303  0.01
Be20 0.000 0.500 0.500  0.14

## Properties
Energy relative to the elements, uncorrected: -0.57 eV/atom
Total energy: -51.957 eV/f.u.
Fermi-level density of states: 0.296 states/eV/atom

---

9.
KBeI2 | GGA-PBE | optimized geometry

Lattice parameters (Å, degrees): 7.030 7.030 8.745 66.30 66.30 90.00
Sites, in units of the cell vectors:
K1 0.000 0.000 0.000
K2 0.750 0.250 0.500
I1 0.234 0.625 0.250
I2 0.516 0.125 0.250
I3 0.375 0.484 0.750
Be1 0.500 0.500 0.000
Be2 0.250 0.750 0.500
I4 0.875 0.766 0.750

## Properties
E above lowest polymorph: 0 kJ/mol of formula units
Energy relative to the elements, uncorrected: -0.32 eV/atom
Total energy: -9.215 eV/f.u.
Fermi-level density of states: 0.116 states/eV/atom

---

10.
KBeI2 | GGA-PBE | optimized geometry

Lattice parameters (Å, degrees): 5.743 5.743 5.743 60.00 60.00 60.00
Each line ends with the local moment (μB).
Sites, in units of the cell vectors:
Be1 0.000 0.000 0.000  0.28
I1 0.250 0.250 0.250  0.08
K1 0.500 0.500 0.500  0.00
I2 0.750 0.750 0.750  0.08

## Properties
E above lowest polymorph: 120 kJ/mol of formula units
Energy relative to the elements, uncorrected: -0.01 eV/atom
Total energy: -7.971 eV/f.u.
Fermi-level density of states: 0.145 states/eV/atom

---

11.
K3BeI | GGA-PBE | optimized geometry

Lattice parameters (Å, degrees): 6.332 6.332 6.332 90.00 90.00 90.00
Each line ends with the local moment (μB).
Sites, in units of the cell vectors:
Be1 0.000 0.000 0.000  0.25
I1 0.500 0.500 0.500  0.04
K1 0.000 0.000 0.500  0.02
K2 0.000 0.500 0.000  0.04
K3 0.500 0.000 0.000  0.05

## Properties
E above lowest polymorph: 0 kJ/mol of formula units
Energy relative to the elements, uncorrected: 0.09 eV/atom
Total energy: -8.135 eV/f.u.
Fermi-level density of states: 0.564 states/eV/atom

---

12.
KBe2IN | GGA-PBE | optimized geometry

Lattice parameters (Å, degrees): 3.974 6.487 3.974 90.00 90.00 90.00
Sites, in units of the cell vectors:
Be1 0.000 0.000 0.500
K1 0.000 0.500 0.000
N1 0.000 0.000 0.000
I1 0.500 0.500 0.500
Be2 0.500 0.000 0.000

## Properties
Energy relative to the elements, uncorrected: 0.39 eV/atom
Total energy: -16.489 eV/f.u.
Fermi-level density of states: 0.277 states/eV/atom

---

13.
KBeI2N | GGA-PBE | optimized geometry

Lattice parameters (Å, degrees): 5.005 5.346 5.005 90.00 90.00 90.00
Sites, in units of the cell vectors:
Be1 0.500 0.500 0.500
I1 0.500 0.000 0.000
I2 0.000 0.000 0.500
N1 0.000 0.000 0.000
K1 0.000 0.500 0.000

## Properties
E above lowest polymorph: 511 kJ/mol of formula units
Energy relative to the elements, uncorrected: 0.92 eV/atom
Total energy: -11.657 eV/f.u.
Fermi-level density of states: 0.473 states/eV/atom

---

14.
KBeI2N | GGA-PBE | optimized geometry

Lattice parameters (Å, degrees): 6.540 6.540 5.267 90.00 90.00 90.00
Each line ends with the local moment (μB).
Sites, in units of the cell vectors:
Be1 0.500 0.500 0.500  0.25
I1 0.000 0.500 0.000  0.18
N1 0.000 0.000 0.500  1.86
I2 0.500 0.000 0.000  0.18
K1 0.000 0.000 0.000  0.03

## Properties
E above lowest polymorph: 699 kJ/mol of formula units
Energy relative to the elements, uncorrected: 1.31 eV/atom
Total energy: -9.705 eV/f.u.
Fermi-level density of states: 0.583 states/eV/atom

---

15.
KBeIN2 | GGA-PBE | optimized geometry

Lattice parameters (Å, degrees): 5.138 5.138 7.050 90.00 90.00 90.00
Each line ends with the local moment (μB).
Sites, in units of the cell vectors:
N1 0.000 0.500 0.000  1.68
Be1 0.500 0.500 0.500  -0.05
K1 0.000 0.000 0.000  0.05
N2 0.500 0.000 0.000  1.68
I1 0.000 0.000 0.500  -0.03

## Properties
E above lowest polymorph: 564 kJ/mol of formula units
Energy relative to the elements, uncorrected: 2.23 eV/atom
Total energy: -11.867 eV/f.u.
Fermi-level density of states: 0.767 states/eV/atom

---

16.
KBeIN2 | GGA-PBE | optimized geometry

Lattice parameters (Å, degrees): 4.274 4.274 5.497 90.00 90.00 90.00
Each line ends with the local moment (μB).
Sites, in units of the cell vectors:
N1 0.500 0.000 0.000  1.28
Be1 0.000 0.000 0.000  -0.05
K1 0.500 0.500 0.500  0.01
I1 0.000 0.000 0.500  0.13
N2 0.000 0.500 0.000  1.28

## Properties
E above lowest polymorph: 0 kJ/mol of formula units
Energy relative to the elements, uncorrected: 1.06 eV/atom
Total energy: -17.715 eV/f.u.
Fermi-level density of states: 0.098 states/eV/atom

---

17.
KBeI2N | GGA-PBE | optimized geometry

Lattice parameters (Å, degrees): 6.511 6.511 3.222 90.00 90.00 90.00
Each line ends with the local moment (μB).
Sites, in units of the cell vectors:
N1 0.000 0.000 0.500  0.69
Be1 0.000 0.000 0.000  -0.03
I1 0.000 0.500 0.000  0.19
K1 0.500 0.500 0.500  0.00
I2 0.500 0.000 0.000  0.19

## Properties
E above lowest polymorph: 0 kJ/mol of formula units
Energy relative to the elements, uncorrected: -0.14 eV/atom
Total energy: -16.948 eV/f.u.
Fermi-level density of states: 0.605 states/eV/atom

---

18.
KNaBeI4 | GGA-PBE | optimized geometry

Lattice parameters (Å, degrees): 7.501 8.036 9.407 90.00 107.60 90.00
Sites, in units of the cell vectors:
I1 0.013 0.509 0.268
Na1 0.231 0.250 0.555
Be1 0.222 0.750 0.315
I2 0.591 0.250 0.856
I3 0.013 0.991 0.268
I4 0.987 0.009 0.732
Na2 0.769 0.750 0.445
I5 0.409 0.750 0.144
K1 0.749 0.750 0.937
I6 0.418 0.750 0.570
K2 0.251 0.250 0.063
I7 0.987 0.491 0.732
I8 0.582 0.250 0.430
Be2 0.778 0.250 0.685

## Properties
Energy relative to the elements, uncorrected: -1.01 eV/atom
Total energy: -19.428 eV/f.u.
Fermi-level density of states: 0.000 states/eV/atom

---

19.
KNaBe2I6 | GGA-PBE | optimized geometry

Lattice parameters (Å, degrees): 11.245 11.245 8.907 112.55 112.55 92.76
Sites, in units of the cell vectors:
I1 0.790 0.013 0.363
I2 0.523 0.296 0.943
I3 0.426 0.070 0.274
Be1 0.071 0.436 0.267
I4 0.987 0.210 0.137
I5 0.704 0.477 0.557
I6 0.210 0.987 0.637
I7 0.296 0.523 0.443
I8 0.930 0.574 0.226
I9 0.477 0.704 0.057
Be2 0.564 0.929 0.233
K1 0.244 0.756 0.250
K2 0.756 0.244 0.750
Be3 0.436 0.071 0.767
Na1 0.250 0.750 0.750
I10 0.574 0.930 0.726
Na2 0.750 0.250 0.250
I11 0.013 0.790 0.863
I12 0.070 0.426 0.774
Be4 0.929 0.564 0.733

## Properties
Energy relative to the elements, uncorrected: -0.85 eV/atom
Total energy: -27.640 eV/f.u.
Fermi-level density of states: 0.000 states/eV/atom

---

20.
KBe4I3O12 | GGA-PBE | optimized geometry

Lattice parameters (Å, degrees): 6.653 6.653 6.653 103.32 103.32 103.32
Sites, in units of the cell vectors:
I1 0.000 0.550 0.450
O1 0.981 0.250 0.396
O2 0.604 0.750 0.019
O3 0.500 0.083 0.917
Be1 0.062 0.500 0.938
K1 0.000 0.000 0.000
O4 0.649 0.500 0.351
O5 0.917 0.500 0.083
I2 0.550 0.450 0.000
O6 0.019 0.604 0.750
Be2 0.938 0.062 0.500
O7 0.396 0.981 0.250
O8 0.083 0.917 0.500
I3 0.450 0.000 0.550
Be3 0.500 0.938 0.062
O9 0.250 0.396 0.981
Be4 0.500 0.500 0.500
O10 0.750 0.019 0.604
O11 0.500 0.351 0.649
O12 0.351 0.649 0.500

## Properties
Energy relative to the elements, uncorrected: -1.22 eV/atom
Total energy: -104.548 eV/f.u.